# 1
First-principles (PBE) data for crystalline Rb2TlP2 at its relaxed geometry, as listed in Alexandria.

E_form in meV per atom: -175

Cell and atoms, written as POSCAR:
```
Rb2TlP2
1.0
-5.1690 2.3966 5.1893
-0.2002 -7.0681 3.0649
4.0490 1.3615 3.4044
P Tl Rb
4 2 4
Cartesian
-2.2614 -5.4144 4.8549
-4.7848 -2.0600 6.5146
-3.1079 0.7429 3.3992
-0.5844 -2.6115 1.7395
0.0000 0.0000 0.0000
-2.6846 -2.3357 4.1271
0.9419 -3.7080 4.7449
-1.6694 -3.4572 7.7504
-2.2622 0.3981 6.9136
0.3491 0.1472 3.9081
```

# 2
First-principles (PBE) data for crystalline HoScIr at its relaxed geometry, as listed in Alexandria.

E_form in meV per atom: -785

Cell and atoms, written as POSCAR:
```
HoScIr
1.0
-1.5947 6.6525 1.9900
-7.8914 -0.6955 -3.9990
2.2791 -5.1359 6.2421
Ho Sc Ir
6 6 6
Cartesian
-0.2063 1.9688 4.9877
-6.8734 -1.6792 -0.9136
-6.4615 1.7399 -2.3211
-0.2354 -3.0470 5.9176
-2.9272 -1.3301 1.0846
-4.1528 1.6212 2.9899
-0.0110 0.0461 0.0138
-3.9568 -0.3017 -1.9857
-2.0429 -0.7697 4.1617
-5.5675 3.2734 0.5747
-1.6247 3.6209 2.5727
-5.9857 -1.1172 2.1636
-0.8944 -0.2967 6.7398
-7.1210 4.4899 -1.4980
-1.2269 0.9644 2.2494
-5.1928 -3.4280 1.0011
-1.2503 -3.0805 2.9990
-5.1694 0.6169 0.2515
```

# 3
First-principles (PBE) data for crystalline SrCa2Bi2 at its relaxed geometry, as listed in Alexandria.

E_form in meV per atom: -695

Cell and atoms, written as POSCAR:
```
SrCa2Bi2
1.0
-3.1327 -3.7187 -1.2641
3.7813 -2.4182 -2.2571
1.9091 -6.5875 4.6647
Sr Ca Bi
1 2 2
Cartesian
0.0000 0.0000 0.0000
-0.4496 -6.6873 0.8200
3.0074 -6.0371 0.3235
0.6947 -3.8908 -0.2590
1.8631 -8.8336 1.4026
```

# 4
First-principles (PBE) data for crystalline BaMgSb2 at its relaxed geometry, as listed in Alexandria.

Raw formation energy in kJ/mol of formula units: -176.6

Cell and atoms, written as POSCAR:
```
BaMgSb2
1.0
5.1072 0.0000 0.0000
0.0000 5.1145 0.0000
0.0000 0.0000 4.7149
Ba Mg Sb
1 1 2
Cartesian
2.5536 0.0000 2.3574
0.0000 2.5573 2.3574
0.0000 0.0000 0.0000
2.5536 2.5573 0.0000
```

# 5
First-principles (PBE) data for crystalline UTlI5 at its relaxed geometry, as listed in Alexandria.

Raw formation energy in kJ/mol of formula units: -501.6

Cell and atoms, written as POSCAR:
```
UTlI5
1.0
-3.2408 -0.6553 7.6607
5.8488 1.0201 5.8625
-1.0287 10.9293 4.9831
U Tl I
2 2 10
Cartesian
0.0000 0.0000 0.0000
-0.5144 5.4646 2.4915
0.2342 8.3244 10.5579
1.3451 2.9697 7.9483
-1.2939 9.4663 7.5322
2.8739 6.0938 10.0151
1.1571 4.3587 4.6576
-3.2751 7.6776 11.2521
1.9480 11.3575 10.2394
-0.3687 -0.0633 8.2668
4.8544 3.6166 7.2541
0.4222 6.9355 13.8487
-1.2945 5.2004 8.4911
2.8732 1.8278 10.9740
```

# 6
First-principles (PBE) data for crystalline Ac2Bi2Pt15 at its relaxed geometry, as listed in Alexandria.

E_form in meV per atom: -475

Cell and atoms, written as POSCAR:
```
Ac2Bi2Pt15
1.0
7.1728 -0.0945 -0.0842
0.8369 7.1245 -0.0842
0.8369 0.7345 7.0870
Ac Bi Pt
2 2 15
Cartesian
3.1252 2.7430 2.4441
5.7214 5.0216 4.4745
0.9333 0.8192 0.7299
7.9133 6.9454 6.1888
3.5864 -0.0472 -0.0421
0.4185 0.3673 3.5435
0.4185 3.5622 -0.0421
0.8369 5.0411 2.2539
5.1071 2.2591 -0.0842
2.9026 0.4643 4.7490
2.9026 4.7709 -0.0842
5.1071 0.1758 2.2539
0.8369 2.8179 4.7490
2.3262 5.1679 4.6049
5.4260 4.7623 1.0964
5.4260 1.6361 4.6049
6.5205 2.5966 2.3137
3.4206 3.0022 5.8222
3.4206 6.1285 2.3137
```

# 7
First-principles (PBE) data for crystalline Na5Tl4In at its relaxed geometry, as listed in Alexandria.

E_form in meV per atom: -84

Cell and atoms, written as POSCAR:
```
Na5Tl4In
1.0
3.8391 0.0000 0.0000
0.0000 3.8391 0.0000
0.0000 0.0000 18.9898
Na Tl In
5 4 1
Cartesian
1.9196 1.9196 1.8597
1.9196 1.9196 5.6536
1.9196 1.9196 9.4949
1.9196 1.9196 13.3362
1.9196 1.9196 17.1302
0.0000 0.0000 3.7285
0.0000 0.0000 7.5747
0.0000 0.0000 11.4152
0.0000 0.0000 15.2614
0.0000 0.0000 0.0000
```

# 8
First-principles (PBE) data for crystalline MgTe2PtCl at its relaxed geometry, as listed in Alexandria.

Raw formation energy in kJ/mol of formula units: 321.2

Cell and atoms, written as POSCAR:
```
MgTe2PtCl
1.0
5.4810 0.0000 0.0000
0.0000 4.4876 0.0000
0.0000 0.0000 5.4810
Mg Te Pt Cl
1 2 1 1
Cartesian
0.0000 2.2438 0.0000
0.0000 0.0000 2.7405
2.7405 0.0000 0.0000
2.7405 2.2438 2.7405
0.0000 0.0000 0.0000
```

# 9
First-principles (PBE) data for crystalline Ti2PtS at its relaxed geometry, as listed in Alexandria.

Raw formation energy in kJ/mol of formula units: -265.3

Cell and atoms, written as POSCAR:
```
Ti2PtS
1.0
6.6296 0.0000 0.0000
0.0000 6.6296 0.0000
3.3148 3.3148 3.0627
S Pt Ti
2 2 4
Cartesian
3.3148 3.3148 0.0000
3.3148 6.6296 1.5313
0.0000 0.0000 0.0000
6.6296 3.3148 1.5313
4.8079 1.6574 0.7657
1.8217 4.9722 0.7657
4.9722 5.1365 2.2970
8.2870 8.1227 2.2970
```

# 10
First-principles (PBE) data for crystalline MgSc2Pt at its relaxed geometry, as listed in Alexandria.

E_form in meV per atom: -458

Cell and atoms, written as POSCAR:
```
MgSc2Pt
1.0
8.9781 -0.0119 -0.0071
8.3144 3.3878 -0.0071
8.3144 1.6232 2.9737
Mg Pt Sc
1 1 2
Cartesian
6.4017 1.2498 0.7399
19.2051 3.7493 2.2197
0.3751 0.0732 0.0434
12.4283 2.4263 1.4364
```

# 11
First-principles (PBE) data for crystalline Tc2BWS at its relaxed geometry, as listed in Alexandria.

Raw formation energy in kJ/mol of formula units: 1063.6

Cell and atoms, written as POSCAR:
```
Tc2BWS
1.0
-4.5100 -0.0236 1.8000
1.6061 -1.2598 4.0078
0.4831 4.6616 1.2717
S B Tc W
1 1 2 1
Cartesian
0.8030 -0.6299 2.0039
-1.2104 1.6891 3.5397
0.2416 2.3308 0.6358
-2.2550 -0.0118 0.9000
0.0000 0.0000 0.0000
```

# 12
First-principles (PBE) data for crystalline NaZrNb4N8 at its relaxed geometry, as listed in Alexandria.

Raw formation energy in kJ/mol of formula units: -1013.1

Cell and atoms, written as POSCAR:
```
NaZrNb4N8
1.0
6.2797 0.0000 0.0000
3.1399 5.4384 0.0000
3.1399 1.8128 5.2809
Na Zr Nb N
1 1 4 8
Cartesian
9.4196 5.4384 0.0356
6.2797 3.6256 4.5769
6.2797 3.6256 0.6918
3.1399 3.5958 2.6671
4.6839 0.9213 2.6671
1.5958 0.9213 2.6671
6.2797 5.5296 3.7614
7.9286 2.6736 3.7614
4.6308 2.6736 3.7614
3.1399 1.8128 1.4553
6.2797 1.8360 1.4748
4.7299 4.5204 1.4748
7.8295 4.5204 1.4748
9.4196 5.4384 3.8562
```

Which DOS at the Fermi energy belongs to each record? In order, 6.4, 21.5, 0.2, 1.9, 6.2, 15.8, 5.2, 4.0, 1.5, 2.9, 4.3, 3.1 states/eV per cell.
Which energy belongs to each record? In order, -3.199, -7.375, -3.384, -3.398, -3.800, -6.085, -1.964, -2.487, -7.177, -5.532, -6.693, -9.089 eV per atom.
Which ρ belongs to each record? In order, 4.48, 10.26, 5.14, 5.46, 5.02, 17.35, 6.21, 6.28, 7.97, 5.65, 6.62, 5.50 Mg/m³.